[1]
Entry from the Alexandria database: a geometry-optimized YV2CdRu structure (PBE).

For the magnetic moment, the calculation gives 6.456 μB/cell. Its crystal system is tetragonal. Its formation energy is 1347 meV per atom. The value obtained for the calculated density is 5.62 Mg/m³.

It has space group P4/mmm (No. 123), with a = 4.8880 Å, b = 4.8880 Å, c = 5.0010 Å, α = 90.00°, β = 90.00° and γ = 90.00°. Symmetry generates all atoms from Y at (0.0000, 0.0000, 0.0000), V at (0.0000, 0.5000, 0.5000), Cd at (0.5000, 0.5000, 0.5000) and Ru at (0.5000, 0.5000, 0.0000).

=====

[2]
Entry from the Alexandria database: a geometry-optimized KSiHg2Au structure (PBE).

The raw formation energy is -0.052 eV/atom. For the magnetic moment, the calculation gives 0.000 μB/cell. Its crystal system is tetragonal. The value obtained for the calculated density is 7.98 Mg/m³.

It has space group P4/mmm (No. 123), with a = 5.2898 Å, b = 5.2898 Å, c = 4.9462 Å, α = 90.00°, β = 90.00° and γ = 90.00°. Symmetry generates all atoms from K at (0.0000, 0.0000, 0.0000), Si at (0.5000, 0.5000, 0.5000), Hg at (0.0000, 0.5000, 0.5000) and Au at (0.5000, 0.5000, 0.0000).

=====

[3]
Entry from the Alexandria database: a geometry-optimized PmNdPd structure (PBE).

As for the energy above the most stable polymorph in this dataset: 123 meV per atom. For the magnetic moment, the calculation gives 0.000 μB/cell. Its crystal system is trigonal. Its formation energy is -354 meV per atom. The value obtained for the calculated density is 8.09 Mg/m³.

It has space group P3m1 (No. 156), with a = 4.8541 Å, b = 4.8541 Å, c = 3.9791 Å, α = 90.00°, β = 90.00° and γ = 120.00°. Symmetry generates all atoms from Pm at (0.0000, 0.0000, 0.0000), Nd at (0.6667, 0.3333, 0.4408) and Pd at (0.3333, 0.6667, 0.7328).

=====

| no. | density of states at the Fermi level (states/eV/cell) | calculated volume (Å³ per cell) |
| --- | --- | --- |
| 1 | 7.3 | 119.5 |
| 2 | 2.7 | 138.4 |
| 3 | 2.8 | 81.2 |